1.
KCd3Pb3 | PBE | optimized geometry

Summary:
- total energy (eV/cell) = -104.5
- total magnetization (μB/atom) = 0.000
- energy of formation (kcal/mol of atoms) = 6.284

a b c (Å): 14.4007 14.4007 14.4007
angles (deg): 90.00 90.00 90.00
Closest atoms and distances in Å follow each position.
Space group Fm-3m (No. 225)
Asymmetric unit:
K  0.2500  0.2500  0.2500 x8  12 Pb 5.27, 12 Cd 5.31
Cd  0.0000  0.0000  0.1454 x24  1 Pb 2.85, 4 Cd 2.96
Pb  0.0000  0.0000  0.3432 x24  1 Cd 2.85

---

2.
ScCo2Mo | PBE | optimized geometry

Summary:
- total energy (eV/cell) = -62.4
- total magnetization (μB/atom) = 0.000
- energy of formation (kcal/mol of atoms) = 0.958

a b c (Å): 9.1521 2.7381 4.5633
angles (deg): 90.00 101.47 90.00
Closest atoms and distances in Å follow each position.
Space group Cm (No. 8)
Asymmetric unit:
Sc  0.0000  0.0000  0.0000 x2  7 Co 2.49-2.69, 2 Sc 2.74
Co  0.2559  0.5000  0.1642 x2  3 Sc 2.49-2.69, 4 Co 2.61-2.74, 4 Mo 2.63-2.74
Co  0.4722  0.0000  0.4887 x2  3 Mo 2.55-2.60, 4 Co 2.61-2.74, 4 Sc 2.67
Mo  0.2172  0.0000  0.6347 x2  7 Co 2.55-2.74, 2 Mo 2.74, 1 Sc 2.84

---

3.
Cr2PtBr | PBE | optimized geometry

Summary:
- total energy (eV/cell) = -49.2
- total magnetization (μB/atom) = 2.163
- formation energy without anion corrections (eV per atom) = 0.589

a b c (Å): 3.7583 3.7583 10.7959
angles (deg): 90.00 90.00 90.00
Closest atoms and distances in Å follow each position.
Space group I-4m2 (No. 119)
Asymmetric unit:
Cr  0.0000  0.0000  0.0000 x2  4 Br 2.66
Cr  0.0000  0.5000  0.2500 x2  4 Pt 2.66
Pt  0.0000  0.5000  0.7500 x2  4 Cr 2.66
Br  0.0000  0.0000  0.5000 x2  4 Cr 2.66

---

4.
MgTcTeO6 | PBE | optimized geometry

Summary:
- total energy (eV/cell) = -116.0
- total magnetization (μB/atom) = 0.110
- formation energy without anion corrections (eV per atom) = -1.462

a b c (Å): 5.2729 5.2729 8.9694
angles (deg): 90.00 90.00 120.00
Closest atoms and distances in Å follow each position.
Space group P-31c (No. 163)
Asymmetric unit:
Mg  0.0000  0.0000  0.0000 x2  6 O 2.19
Tc  0.3333  0.6667  0.2500 x2  6 O 1.97
Te  0.3333  0.6667  0.7500 x2  6 O 2.06
O  0.0124  0.3539  0.1327 x12  1 Tc 1.97, 1 Te 2.06, 1 Mg 2.19